(a)
The following is a PBE-GGA calculation of a geometry-optimized PIrNCl2 structure, from the Alexandria database.

```
PIrNCl2
1.0
-1.3427 2.5238 -3.8417
-4.4993 0.0972 1.6365
0.8864 3.8343 2.2092
P N Ir Cl
1 1 1 2
Cartesian
0.4432 1.9172 1.1046
-2.4779 3.2277 0.0020
0.0000 0.0000 0.0000
-2.2497 0.0486 0.8182
-0.6714 1.2619 -1.9209
```

Calculated values
Calculated volume ... 103 Å³/cell
Space-group type ... P4/mmm (123)

(b)
The following is a PBE-GGA calculation of a geometry-optimized PIrNCl2 structure, from the Alexandria database.

```
PIrNCl2
1.0
4.0642 0.0000 0.0000
0.0000 4.0642 0.0000
0.0000 0.0000 4.4587
P N Ir Cl
1 1 1 2
Cartesian
0.0000 0.0000 2.2294
0.0000 0.0000 0.0000
2.0321 2.0321 2.2294
0.0000 2.0321 0.0000
2.0321 0.0000 0.0000
```

Calculated values
Calculated volume ... 74 Å³/cell
Space-group type ... P4/mmm (123)

Of them, the most stable is (a) and the least stable is (b).

(a)
The following is a PBE-GGA calculation of a geometry-optimized IrSNCl2 structure, from the Alexandria database.

```
IrSNCl2
1.0
4.8204 0.0000 0.0000
0.0000 4.8204 0.0000
0.0000 0.0000 4.4484
N S Ir Cl
1 1 1 2
Cartesian
2.4102 2.4102 2.2242
0.0000 0.0000 2.2242
0.0000 0.0000 0.0000
0.0000 2.4102 0.0000
2.4102 0.0000 0.0000
```

Calculated values
Calculated volume ... 103 Å³/cell
Space-group type ... P4/mmm (123)

(b)
The following is a PBE-GGA calculation of a geometry-optimized IrSNCl2 structure, from the Alexandria database.

```
IrSNCl2
1.0
-3.4898 2.0793 0.3093
-1.9594 -3.4346 0.9809
0.8723 0.7923 4.5168
N S Ir Cl
1 1 1 2
Cartesian
0.0000 0.0000 0.0000
0.4362 0.3961 2.2584
-2.2884 -0.2815 2.9035
-0.9797 -1.7173 0.4904
-1.7449 1.0396 0.1546
```

Calculated values
Calculated volume ... 77 Å³/cell
Space-group type ... P4/mmm (123)

Of them, the most stable is (a) and the least stable is (b).

(a)
The following is a PBE-GGA calculation of a geometry-optimized IrSeN2Cl structure, from the Alexandria database.

```
IrSeN2Cl
1.0
-2.4745 -0.6760 -2.4263
-0.6511 -3.1141 1.5316
-5.3591 3.3496 4.5323
N Ir Se Cl
2 1 1 1
Cartesian
-0.3255 -1.5570 0.7658
-1.2373 -0.3380 -1.2132
-4.2424 -0.2202 1.8188
-2.6796 1.6748 2.2661
0.0000 0.0000 0.0000
```

Calculated values
Calculated volume ... 97 Å³/cell
Space-group type ... P4/mmm (123)

(b)
The following is a PBE-GGA calculation of a geometry-optimized IrSeN2Cl structure, from the Alexandria database.

```
IrSeN2Cl
1.0
-2.9098 1.5545 -1.8497
1.1726 -1.6231 -3.2087
-3.1495 -4.5352 1.1431
N Ir Se Cl
2 1 1 1
Cartesian
0.5863 -0.8115 -1.6043
-1.4549 0.7773 -0.9249
0.0000 0.0000 0.0000
-1.5747 -2.2676 0.5715
-2.4433 -2.3019 -1.9577
```

Calculated values
Calculated volume ... 81 Å³/cell
Space-group type ... P4/mmm (123)

Of them, the most stable is (b) and the least stable is (a).

(a)
The following is a PBE-GGA calculation of a geometry-optimized Na3IrCl structure, from the Alexandria database.

```
Na3IrCl
1.0
-3.8218 1.0085 -3.2345
2.6089 -2.2349 -3.7794
-2.1617 -4.4803 1.1572
Na Ir Cl
3 1 1
Cartesian
1.3045 -1.1175 -1.8897
-1.0808 -2.2402 0.5786
-1.9109 0.5042 -1.6173
-1.6873 -2.8534 -2.9284
0.0000 0.0000 0.0000
```

Calculated values
Calculated volume ... 133 Å³/cell
Space-group type ... Pm-3m (221)

(b)
The following is a PBE-GGA calculation of a geometry-optimized Na3IrCl structure, from the Alexandria database.

```
Na3IrCl
1.0
-2.6636 -4.1886 2.4967
3.2163 -3.6474 -2.6878
3.6651 0.1568 4.1731
Na Ir Cl
3 1 1
Cartesian
1.6082 -1.8237 -1.3439
1.8326 0.0784 2.0866
-1.3318 -2.0943 1.2484
0.0000 0.0000 0.0000
2.1089 -3.8396 1.9910
```

Calculated values
Calculated volume ... 172 Å³/cell
Space-group type ... Pm-3m (221)

Of them, the most stable is (a) and the least stable is (b).

(a)
The following is a PBE-GGA calculation of a geometry-optimized NaIrCl6 structure, from the Alexandria database.

```
NaIrCl6
1.0
-3.7703 3.7757 -3.5741
-2.8437 -2.3515 -5.2600
-6.8169 -1.1005 0.2588
Na Ir Cl
1 1 6
Cartesian
-6.7154 0.1619 -4.2877
0.0000 0.0000 0.0000
-6.5211 -1.6109 -1.9854
-8.3923 2.0706 -2.8653
-4.4292 1.5847 -3.1861
-5.0386 -1.7468 -5.7101
-6.9098 1.9347 -6.5900
-9.0017 -1.2609 -5.3892
```

Calculated values
Calculated volume ... 208 Å³/cell
Space-group type ... R-3 (148)

(b)
The following is a PBE-GGA calculation of a geometry-optimized NaIrCl6 structure, from the Alexandria database.

```
NaIrCl6
1.0
3.9926 5.2738 -0.0928
-3.9926 5.2738 -0.0928
0.0000 0.0460 10.1886
Na Ir Cl
2 2 12
Cartesian
3.8809 5.3083 7.5487
-3.8809 5.2853 2.4544
-1.9963 2.6599 5.0479
1.9963 2.6369 -0.0464
1.3262 5.9847 5.9940
-1.3262 4.6089 4.0091
1.3262 4.6319 9.1035
-1.3262 5.9617 0.8997
-1.6347 3.6256 7.1206
1.6347 6.9680 2.8825
-1.6347 6.9910 7.9768
1.6347 3.6027 2.0263
0.1969 8.7167 -0.1218
-0.1969 1.8769 10.1249
0.1969 1.8540 5.0306
-0.1969 8.7397 4.9725
```

Calculated values
Calculated volume ... 429 Å³/cell
Space-group type ... C2/c (15)

Of them, the most stable is (b) and the least stable is (a).

(a)
The following is a PBE-GGA calculation of a geometry-optimized Na2IrCl structure, from the Alexandria database.

```
Na2IrCl
1.0
1.0627 -4.7894 1.4317
-2.0100 -1.8861 4.3035
-3.6201 -3.5998 -0.2340
Na Ir Cl
2 1 1
Cartesian
-1.1418 -2.5688 1.3753
-3.4255 -7.7065 4.1260
-2.2837 -5.1376 2.7507
0.0000 0.0000 0.0000
```

Calculated values
Calculated volume ... 94 Å³/cell
Space-group type ... Fm-3m (225)

(b)
The following is a PBE-GGA calculation of a geometry-optimized Na2IrCl structure, from the Alexandria database.

```
Na2IrCl
1.0
7.8869 0.0000 0.0000
0.0000 7.8869 0.0000
3.9435 3.9435 2.5872
Na Ir Cl
4 2 2
Cartesian
5.6276 1.9717 0.6468
2.2594 5.9152 0.6468
5.9152 6.2028 1.9404
9.8587 9.5710 1.9404
0.0000 0.0000 0.0000
7.8869 3.9435 1.2936
3.9435 3.9435 0.0000
3.9435 7.8869 1.2936
```

Calculated values
Calculated volume ... 161 Å³/cell
Space-group type ... I-42d (122)

Of them, the most stable is (b) and the least stable is (a).

(a)
The following is a PBE-GGA calculation of a geometry-optimized Na2IrCl5 structure, from the Alexandria database.

```
Na2IrCl5
1.0
-3.2653 -2.8819 -1.8863
-1.0036 0.1738 7.4428
-8.0692 10.0077 -1.3217
Na Ir Cl
4 2 10
Cartesian
-7.0318 2.0193 3.1165
-4.0288 -1.7051 3.6084
-5.3063 5.2802 1.1183
-8.3093 9.0047 0.6264
-9.4673 5.2079 2.4609
-2.8708 2.0917 1.7739
-11.1170 6.2077 3.7891
-9.0335 3.6236 4.1303
-4.5747 3.1541 3.1003
-2.3881 0.4422 3.4585
-4.6841 0.5639 1.2760
-7.6540 6.7357 2.9587
-7.7634 4.1454 1.1344
-9.9500 6.8573 0.7763
-1.2211 1.0919 0.4457
-3.3046 3.6759 0.1044
```

Calculated values
Calculated volume ... 437 Å³/cell
Space-group type ... Cmcm (63)

(b)
The following is a PBE-GGA calculation of a geometry-optimized Na2IrCl5 structure, from the Alexandria database.

```
Na2IrCl5
1.0
7.3294 0.0000 0.0000
0.0002 7.3211 0.6139
-3.6645 -3.2626 4.6446
Na Ir Cl
2 1 5
Cartesian
0.0002 3.6668 1.5693
3.6647 -0.2610 1.3766
0.0000 0.0293 0.2932
5.6654 1.5948 0.8594
1.6642 1.5947 0.8593
5.6778 5.6963 0.6169
1.6521 5.6963 0.6168
3.6650 4.5647 3.3449
```

Calculated values
Calculated volume ... 264 Å³/cell
Space-group type ... Cm (8)

Of them, the most stable is (a) and the least stable is (b).

(a)
The following is a PBE-GGA calculation of a geometry-optimized NaIrS2Cl structure, from the Alexandria database.

```
NaIrS2Cl
1.0
4.8950 0.0000 0.0000
0.0000 4.8950 0.0000
0.0000 0.0000 4.7353
Na S Ir Cl
1 2 1 1
Cartesian
0.0000 0.0000 0.0000
0.0000 2.4475 0.0000
2.4475 0.0000 0.0000
2.4475 2.4475 2.3676
0.0000 0.0000 2.3676
```

Calculated values
Calculated volume ... 113 Å³/cell
Space-group type ... P4/mmm (123)

(b)
The following is a PBE-GGA calculation of a geometry-optimized NaIrS2Cl structure, from the Alexandria database.

```
NaIrS2Cl
1.0
4.5612 0.0000 0.0000
0.0000 4.5612 0.0000
0.0000 0.0000 5.4928
Na S Ir Cl
1 2 1 1
Cartesian
2.2806 2.2806 2.7464
0.0000 2.2806 0.0000
2.2806 0.0000 0.0000
0.0000 0.0000 0.0000
0.0000 0.0000 2.7464
```

Calculated values
Calculated volume ... 114 Å³/cell
Space-group type ... P4/mmm (123)

Of them, the most stable is (b) and the least stable is (a).